# 1
# PmCo2GeB

A geometry-optimized PmCo2GeB structure (PBE, Alexandria).

Cell lengths 3.8521, 3.8521, 5.4877 Å; angles 90.00, 90.00, 90.00 degrees
Fractional coordinates of all 5 atoms:
Pm 0.0000 0.0000 0.4467
Co 0.0000 0.5000 0.9440
Co 0.5000 0.0000 0.9440
Ge 0.5000 0.5000 0.6932
B 0.0000 0.0000 0.9721

Results
- Uncorrected energy: -6.333 eV per atom
- M_tot: 0.00 μB/cell

# 2
# Rb2Ge4As5

A geometry-optimized Rb2Ge4As5 structure (PBE, Alexandria).

Cell lengths 6.2863, 7.7913, 7.4196 Å; angles 76.86, 64.94, 66.21 degrees
Fractional coordinates of all 11 atoms:
Rb 0.2830 0.7687 0.6654
Rb 0.7170 0.2313 0.3346
Ge 0.4123 0.9890 0.1864
Ge 0.5877 0.0110 0.8136
Ge 0.7358 0.6310 0.8973
Ge 0.2642 0.3690 0.1027
As 0.1615 0.2809 0.8191
As 0.8385 0.7191 0.1809
As 0.0000 0.5000 0.5000
As 0.7385 0.2809 0.8191
As 0.2615 0.7191 0.1809

Results
- Uncorrected energy: -3.955 eV per atom
- M_tot: 0.00 μB/cell

# 3
# ErTmLu

A geometry-optimized ErTmLu structure (PBE, Alexandria).

Cell lengths 4.0623, 4.0623, 6.2028 Å; angles 109.11, 109.11, 90.00 degrees
Fractional coordinates of all 3 atoms:
Lu 0.2842 0.2842 0.5684
Tm 0.9472 0.9472 0.8944
Er 0.6186 0.6186 0.2372

Results
- Excess energy over the best structure of this formula in the dataset: 47 meV per atom
- M_tot: 0.00 μB/cell

# 4
# BaGdPbAu

A geometry-optimized BaGdPbAu structure (PBE, Alexandria).

Cell lengths 5.6257, 5.6257, 5.6257 Å; angles 60.00, 60.00, 60.00 degrees
Fractional coordinates of all 4 atoms:
Pb 0.2500 0.2500 0.2500
Gd 0.5000 0.5000 0.5000
Au 0.7500 0.7500 0.7500
Ba 0.0000 0.0000 0.0000

Results
- Uncorrected energy: -6.274 eV per atom
- M_tot: 6.91 μB/cell